## In2I2Br (PBE)

Data for a relaxed structure of In2I2Br.

a b c (Å): 8.459 8.459 6.120
angles (deg): 110.50 110.50 31.51
Element x y z (fractional)
In1 0.000 0.000 0.000
In2 0.689 0.689 0.683
I1 0.013 0.013 0.513
I2 0.356 0.356 0.861
Br1 0.634 0.634 0.129

Summary:
total energy	-2.56	eV per atom
size of the total moment	0.0	μB/f.u.
ΔE_f (raw)	-0.5120	eV per atom